(1)
This record from the Alexandria database describes a geometry-optimized RbFeIr structure. The functional is GGA-PBE.

Structure (POSCAR):
```
RbFeIr
1.0
0.0000 3.1599 3.1599
3.1599 0.0000 3.1599
3.1599 3.1599 0.0000
Ir Rb Fe
1 1 1
direct
0.7500 0.7500 0.7500 Ir
0.2500 0.2500 0.2500 Rb
0.0000 0.0000 0.0000 Fe
```

Results
As for the space group: F-43m. Its energy above the most stable polymorph in this dataset is 1494.1 meV/atom. The formation energy comes out at 5.65 eV per formula unit.


(2)
This record from the Alexandria database describes a geometry-optimized RbFeIr structure. The functional is GGA-PBE.

Structure (POSCAR):
```
RbFeIr
1.0
-2.0496 -7.4881 -2.0106
3.6604 -1.3568 1.3217
-3.8650 -1.4237 9.2423
Rb Fe Ir
4 4 4
direct
0.9976 0.7500 0.1882 Rb
0.0024 0.2500 0.8118 Rb
0.5024 0.2500 0.6882 Rb
0.4976 0.7500 0.3118 Rb
0.3559 0.2500 0.0490 Fe
0.6441 0.7500 0.9510 Fe
0.1441 0.7500 0.5490 Fe
0.8559 0.2500 0.4510 Fe
0.3578 0.7500 0.9523 Ir
0.6422 0.2500 0.0477 Ir
0.8578 0.7500 0.5477 Ir
0.1422 0.2500 0.4523 Ir
```

Results
As for the space group: Pnma. Its energy above the most stable polymorph in this dataset is 440.1 meV/atom. The formation energy comes out at 2.49 eV per formula unit.


(3)
This record from the Alexandria database describes a geometry-optimized RbFeIr structure. The functional is GGA-PBE.

Structure (POSCAR):
```
RbFeIr
1.0
5.0790 0.0000 0.0000
0.0000 5.8641 0.0003
2.5395 2.9323 4.6893
Rb Ir Fe
2 2 2
direct
0.1964 0.6964 0.6072 Rb
0.9319 0.9319 0.1362 Rb
0.7380 0.2380 0.5239 Ir
0.3292 0.3292 0.3416 Ir
0.5499 0.3398 0.9003 Fe
0.5499 0.7600 0.9002 Fe
```

Results
As for the space group: Imm2. Its energy above the most stable polymorph in this dataset is 405.5 meV/atom. The formation energy comes out at 2.39 eV per formula unit.


(4)
This record from the Alexandria database describes a geometry-optimized RbFeIr structure. The functional is GGA-PBE.

Structure (POSCAR):
```
RbFeIr
1.0
-6.3974 -6.6475 5.1250
1.2460 -3.1910 -2.5835
6.2144 -1.8798 5.3190
Fe Ir Rb
4 4 4
direct
0.4727 0.2500 0.6523 Fe
0.9727 0.2500 0.8477 Fe
0.5273 0.7500 0.3477 Fe
0.0273 0.7500 0.1523 Fe
0.5444 0.7500 0.6206 Ir
0.0444 0.7500 0.8794 Ir
0.4556 0.2500 0.3794 Ir
0.9556 0.2500 0.1206 Ir
0.2041 0.7500 0.5167 Rb
0.7959 0.2500 0.4833 Rb
0.7041 0.7500 0.9833 Rb
0.2959 0.2500 0.0167 Rb
```

Results
As for the space group: Pnma. Its energy above the most stable polymorph in this dataset is 489.1 meV/atom. The formation energy comes out at 2.64 eV per formula unit.


(5)
This record from the Alexandria database describes a geometry-optimized RbFeIr structure. The functional is GGA-PBE.

Structure (POSCAR):
```
RbFeIr
1.0
-2.6466 -1.9545 -4.9686
5.0861 -2.4967 1.8466
-4.6486 -5.9168 4.8037
Rb Ir Fe
2 2 2
direct
0.6667 0.3333 0.7500 Rb
0.3333 0.6667 0.2500 Rb
0.0000 0.0000 0.0000 Ir
0.0000 0.0000 0.5000 Ir
0.0000 0.0000 0.7500 Fe
0.0000 0.0000 0.2500 Fe
```

Results
As for the space group: P6_3/mmc. Its energy above the most stable polymorph in this dataset is 1185.9 meV/atom. The formation energy comes out at 4.73 eV per formula unit.


(6)
This record from the Alexandria database describes a geometry-optimized RbFeIr structure. The functional is GGA-PBE.

Structure (POSCAR):
```
RbFeIr
1.0
4.8607 0.0185 0.0043
3.1908 10.5590 0.0046
1.7768 -0.2690 4.0077
Rb Ir Fe
2 2 2
direct
0.9458 0.1159 0.4154 Rb
0.0659 0.5562 0.8512 Rb
0.6729 0.8931 0.9591 Ir
0.2380 0.8495 0.8469 Ir
0.3592 0.7772 0.3231 Fe
0.8400 0.8176 0.4011 Fe
```

Results
As for the space group: P1. Its energy above the most stable polymorph in this dataset is 191.3 meV/atom. The formation energy comes out at 1.74 eV per formula unit.


(7)
This record from the Alexandria database describes a geometry-optimized RbFeIr structure. The functional is GGA-PBE.

Structure (POSCAR):
```
RbFeIr
1.0
12.9040 0.0000 0.0000
0.0000 4.9604 0.0000
0.0000 0.0000 4.4401
Ir Rb Fe
4 4 4
direct
0.4748 0.7500 0.0000 Ir
0.9748 0.7500 0.5000 Ir
0.0252 0.2500 0.5000 Ir
0.5252 0.2500 0.0000 Ir
0.2263 0.7500 0.5012 Rb
0.7263 0.7500 0.9988 Rb
0.7737 0.2500 0.4988 Rb
0.2737 0.2500 0.0012 Rb
0.5000 0.0000 0.5000 Fe
0.0000 0.5000 0.0000 Fe
0.5000 0.5000 0.5000 Fe
0.0000 0.0000 0.0000 Fe
```

Results
As for the space group: Pnma. Its energy above the most stable polymorph in this dataset is 35.2 meV/atom. The formation energy comes out at 1.28 eV per formula unit.


(8)
This record from the Alexandria database describes a geometry-optimized RbFe3Ir structure. The functional is GGA-PBE.

Structure (POSCAR):
```
RbFe3Ir
1.0
-2.4579 -0.0241 -4.2145
3.8426 -2.0167 -2.2295
-1.7310 -4.4425 1.0350
Fe Ir Rb
3 1 1
direct
0.5000 0.0000 0.0000 Fe
0.0000 0.5000 0.0000 Fe
0.0000 0.0000 0.5000 Fe
0.0000 0.0000 0.0000 Ir
0.5000 0.5000 0.5000 Rb
```

Results
As for the space group: Pm-3m. Its energy above the most stable polymorph in this dataset is 0.0 meV/atom. The formation energy comes out at 5.25 eV per formula unit.